A geometry-optimized NaIn2PdAu structure, computed with PBE-GGA.

Structure (POSCAR):
```
NaIn2PdAu
1.0
5.191 0.000 0.000
0.000 5.191 0.000
0.000 0.000 5.329
Na In Pd Au
1 2 1 1
Cartesian
0.000 0.000 0.000
0.000 2.595 2.664
2.595 0.000 2.664
2.595 2.595 0.000
2.595 2.595 2.664
```

Computed properties:
Final energy: -2.9062 eV/atom
Total magnetization: 0.000 μB/f.u.
Energy relative to the elements: 71 kJ/mol of formula units
SG: No. 123

=====

A geometry-optimized NaPmInAu structure, computed with PBE-GGA.

Structure (POSCAR):
```
NaPmInAu
1.0
0.000 3.677 3.677
3.677 0.000 3.677
3.677 3.677 0.000
Na Pm In Au
1 1 1 1
Cartesian
0.000 0.000 0.000
3.677 3.677 3.677
1.838 1.838 1.838
5.515 5.515 5.515
```

Computed properties:
Final energy: -3.4190 eV/atom
Total magnetization: 0.000 μB/f.u.
Energy relative to the elements: -153 kJ/mol of formula units
SG: No. 216

=====

A geometry-optimized NaPm2InAu4 structure, computed with PBE-GGA.

Structure (POSCAR):
```
NaPm2InAu4
1.0
2.517 1.453 8.308
-2.517 1.453 8.308
0.000 -2.906 8.308
Na Pm In Au
1 2 1 4
Cartesian
0.000 0.000 0.000
0.000 0.000 6.171
0.000 0.000 18.754
0.000 0.000 12.462
0.000 0.000 3.106
0.000 0.000 9.288
0.000 0.000 15.636
0.000 0.000 21.819
```

Computed properties:
Final energy: -3.9830 eV/atom
Total magnetization: 0.000 μB/f.u.
Energy relative to the elements: -501 kJ/mol of formula units
SG: No. 166

=====

A geometry-optimized NaInPtAu2 structure, computed with PBE-GGA.

Structure (POSCAR):
```
NaInPtAu2
1.0
5.265 0.000 0.000
0.000 5.265 0.000
0.000 0.000 5.047
Na In Pt Au
1 1 1 2
Cartesian
0.000 0.000 0.000
2.632 2.632 0.000
2.632 2.632 2.523
0.000 2.632 2.523
2.632 0.000 2.523
```

Computed properties:
Final energy: -3.3488 eV/atom
Total magnetization: 0.000 μB/f.u.
Energy relative to the elements: -9 kJ/mol of formula units
SG: No. 123